1.
A crystal of Ba3SrSn4O12 relaxed with PBEsol, computed with SCAN.

Cell lengths 4.116, 5.824, 11.639 Å; angles 90.00, 90.00, 90.00 degrees
Fractional positions:
Ba (0.500, 0.000, 0.248)
Ba (0.500, 0.500, 0.500)
Ba (0.500, 0.000, 0.752)
Sr (0.500, 0.500, 0.000)
Sn (0.000, 0.000, 0.500)
Sn (0.000, 0.500, 0.752)
Sn (0.000, 0.000, 0.000)
Sn (0.000, 0.500, 0.248)
O (0.000, 0.250, 0.626)
O (0.000, 0.746, 0.878)
O (0.000, 0.254, 0.122)
O (0.000, 0.750, 0.374)
O (0.000, 0.250, 0.374)
O (0.000, 0.750, 0.626)
O (0.000, 0.254, 0.878)
O (0.000, 0.746, 0.122)
O (0.500, 0.000, 0.500)
O (0.500, 0.500, 0.756)
O (0.500, 0.000, 0.000)
O (0.500, 0.500, 0.244)

Output
The crystal system is orthorhombic.

---

2.
A crystal of Ba3Sr4O7 relaxed with PBEsol, computed with SCAN.

Cell lengths 3.753, 5.313, 13.589 Å; angles 101.27, 97.94, 90.00 degrees
Fractional positions:
Ba (0.355, 0.855, 0.709)
Ba (0.645, 0.145, 0.291)
Ba (0.500, 0.000, 0.000)
Sr (0.785, 0.285, 0.570)
Sr (0.215, 0.715, 0.430)
Sr (0.928, 0.428, 0.856)
Sr (0.072, 0.572, 0.144)
O (0.640, 0.640, 0.280)
O (0.360, 0.360, 0.720)
O (0.500, 0.500, 0.000)
O (0.223, 0.223, 0.445)
O (0.777, 0.777, 0.555)
O (0.074, 0.074, 0.147)
O (0.926, 0.926, 0.853)

Output
The crystal system is orthorhombic.

---

no.,raw formation energy (meV/atom),total magnetic moment (μB per atom),D(E_F) (states/eV per cell)
1,-2414,0.0000,0.0
2,-2837,0.0000,0.0